# SbMoCl2 | the Alexandria database | PBE | optimized geometry
# - E_form (uncorrected) (eV/atom) = 0.13
# - total moment (μB per formula unit) = 1.30
data_SbMoCl2
_cell_length_a 3.2216
_cell_length_b 5.7885
_cell_length_c 9.8508
_cell_angle_alpha 90.00
_cell_angle_beta 90.00
_cell_angle_gamma 90.00
_symmetry_space_group_name_H-M 'C m m 2'
_symmetry_Int_Tables_number 35
loop_
_symmetry_equiv_pos_as_xyz
'x,y,z'
'-x,-y,z'
'-x,y,z'
'x,-y,z'
'x+1/2,y+1/2,z'
'-x+1/2,-y+1/2,z'
'-x+1/2,y+1/2,z'
'x+1/2,-y+1/2,z'
loop_
_atom_site_label
_atom_site_type_symbol
_atom_site_fract_x
_atom_site_fract_y
_atom_site_fract_z
Sb1 Sb 0.0000 0.0000 0.0000
Mo1 Mo 0.0000 0.5000 0.7582
Cl1 Cl 0.0000 0.0000 0.5751
Cl2 Cl 0.0000 0.5000 0.2238

# Ac2HoSnPd6 | the Alexandria database | PBE | optimized geometry
# - formation energy from the elements (kcal/mol of atoms) = -14.7
# - total moment (μB per formula unit) = 0.00
data_Ac2HoSnPd6
_cell_length_a 5.8441
_cell_length_b 6.9068
_cell_length_c 7.1468
_cell_angle_alpha 79.11
_cell_angle_beta 65.87
_cell_angle_gamma 64.98
_symmetry_space_group_name_H-M 'P -1'
_symmetry_Int_Tables_number 2
loop_
_symmetry_equiv_pos_as_xyz
'x,y,z'
'-x,-y,-z'
loop_
_atom_site_label
_atom_site_type_symbol
_atom_site_fract_x
_atom_site_fract_y
_atom_site_fract_z
Ac1 Ac 0.0351 0.2033 0.2264
Ho1 Ho 0.5000 0.5000 0.0000
Sn1 Sn 0.5000 0.0000 0.5000
Pd1 Pd 0.0063 0.2421 0.7589
Pd2 Pd 0.3273 0.4231 0.4199
Pd3 Pd 0.4928 0.2429 0.7582

# PmEr5Sn6 | the Alexandria database | PBE | optimized geometry
# - formation energy from the elements (kcal/mol of atoms) = -13.8
# - total moment (μB per formula unit) = 0.00
data_PmEr5Sn6
_cell_length_a 6.0647
_cell_length_b 15.2559
_cell_length_c 7.4208
_cell_angle_alpha 90.00
_cell_angle_beta 103.94
_cell_angle_gamma 90.00
_symmetry_space_group_name_H-M 'C 1 2/m 1'
_symmetry_Int_Tables_number 12
loop_
_symmetry_equiv_pos_as_xyz
'x,y,z'
'-x,-y,-z'
'-x,y,-z'
'x,-y,z'
'x+1/2,y+1/2,z'
'-x+1/2,-y+1/2,-z'
'-x+1/2,y+1/2,-z'
'x+1/2,-y+1/2,z'
loop_
_atom_site_label
_atom_site_type_symbol
_atom_site_fract_x
_atom_site_fract_y
_atom_site_fract_z
Pm1 Pm 0.0000 0.0000 0.0000
Er1 Er 0.0000 0.0000 0.5000
Er2 Er 0.0000 0.3279 0.0000
Er3 Er 0.0000 0.3412 0.5000
Sn1 Sn 0.0060 0.1697 0.7373
Sn2 Sn 0.0129 0.5000 0.2375

# KLiSb2 | the Alexandria database | PBE | optimized geometry
# - E_form (uncorrected) (eV/atom) = -0.10
# - total moment (μB per formula unit) = 0.00
data_KLiSb2
_cell_length_a 7.6340
_cell_length_b 7.6340
_cell_length_c 7.6340
_cell_angle_alpha 90.00
_cell_angle_beta 90.00
_cell_angle_gamma 90.00
_symmetry_space_group_name_H-M 'F m -3 m'
_symmetry_Int_Tables_number 225
_symmetry_space_group_name_Hall '-F 4 2 3'
loop_
_atom_site_label
_atom_site_type_symbol
_atom_site_fract_x
_atom_site_fract_y
_atom_site_fract_z
K1 K 0.0000 0.0000 0.0000
Li1 Li 0.0000 0.0000 0.5000
Sb1 Sb 0.2500 0.2500 0.2500

# BaAlPb2 | the Alexandria database | PBE | optimized geometry
# - formation energy from the elements (kcal/mol of atoms) = -4.7
# - total moment (μB per formula unit) = 0.00
data_BaAlPb2
_cell_length_a 9.5717
_cell_length_b 4.4967
_cell_length_c 6.4799
_cell_angle_alpha 90.00
_cell_angle_beta 108.03
_cell_angle_gamma 90.00
_symmetry_space_group_name_H-M 'C 1 2/m 1'
_symmetry_Int_Tables_number 12
loop_
_symmetry_equiv_pos_as_xyz
'x,y,z'
'-x,-y,-z'
'-x,y,-z'
'x,-y,z'
'x+1/2,y+1/2,z'
'-x+1/2,-y+1/2,-z'
'-x+1/2,y+1/2,-z'
'x+1/2,-y+1/2,z'
loop_
_atom_site_label
_atom_site_type_symbol
_atom_site_fract_x
_atom_site_fract_y
_atom_site_fract_z
Ba1 Ba 0.0000 0.0000 0.0000
Al1 Al 0.0000 0.5000 0.5000
Pb1 Pb 0.2296 0.0000 0.6652

# Na2ErNpS4 | the Alexandria database | PBE | optimized geometry
# - E_form (uncorrected) (eV/atom) = -1.59
# - total moment (μB per formula unit) = 4.00
data_Na2ErNpS4
_cell_length_a 6.9192
_cell_length_b 3.9906
_cell_length_c 7.0588
_cell_angle_alpha 90.00
_cell_angle_beta 109.19
_cell_angle_gamma 90.00
_symmetry_space_group_name_H-M 'P 1 2/m 1'
_symmetry_Int_Tables_number 10
loop_
_symmetry_equiv_pos_as_xyz
'x,y,z'
'-x,-y,-z'
'-x,y,-z'
'x,-y,z'
loop_
_atom_site_label
_atom_site_type_symbol
_atom_site_fract_x
_atom_site_fract_y
_atom_site_fract_z
Na1 Na 0.0000 0.0000 0.0000
Na2 Na 0.5000 0.5000 0.0000
Er1 Er 0.0000 0.5000 0.5000
Np1 Np 0.5000 0.0000 0.5000
S1 S 0.2374 0.0000 0.7267
S2 S 0.2542 0.5000 0.2737

# Al2WCl | the Alexandria database | PBE | optimized geometry
# - E_form (uncorrected) (eV/atom) = 0.48
# - total moment (μB per formula unit) = 0.00
data_Al2WCl
_cell_length_a 2.9998
_cell_length_b 4.7385
_cell_length_c 9.1181
_cell_angle_alpha 90.00
_cell_angle_beta 90.00
_cell_angle_gamma 90.00
_symmetry_space_group_name_H-M 'I m m m'
_symmetry_Int_Tables_number 71
_symmetry_space_group_name_Hall '-I 2 2'
loop_
_atom_site_label
_atom_site_type_symbol
_atom_site_fract_x
_atom_site_fract_y
_atom_site_fract_z
Al1 Al 0.0000 0.0000 0.2457
W1 W 0.0000 0.5000 0.5000
Cl1 Cl 0.0000 0.5000 0.0000

# Nd2Ge3IrPt4 | the Alexandria database | PBE | optimized geometry
# - formation energy from the elements (kcal/mol of atoms) = -17.6
# - total moment (μB per formula unit) = 0.00
data_Nd2Ge3IrPt4
_cell_length_a 4.2750
_cell_length_b 4.2750
_cell_length_c 10.6156
_cell_angle_alpha 90.00
_cell_angle_beta 90.00
_cell_angle_gamma 90.00
_symmetry_space_group_name_H-M 'P -4 m 2'
_symmetry_Int_Tables_number 115
loop_
_symmetry_equiv_pos_as_xyz
'x,y,z'
'y,-x,-z'
'-x,-y,z'
'-y,x,-z'
'-x,y,z'
'-y,-x,-z'
'x,-y,z'
'y,x,-z'
loop_
_atom_site_label
_atom_site_type_symbol
_atom_site_fract_x
_atom_site_fract_y
_atom_site_fract_z
Nd1 Nd 0.0000 0.5000 0.2445
Ge1 Ge 0.0000 0.0000 0.0000
Ge2 Ge 0.0000 0.5000 0.6297
Ir1 Ir 0.5000 0.5000 0.0000
Pt1 Pt 0.0000 0.0000 0.5000
Pt2 Pt 0.0000 0.5000 0.8578
Pt3 Pt 0.5000 0.5000 0.5000

Q: Which value of total moment does entry 2 give?
A: 0.00 μB per formula unit